Material: ZrScAs2
Method: DFT, PBE
State: relaxed

Lattice parameters (Å, degrees): 6.983 6.983 6.983 31.63 31.63 31.63
Positions (direct):
Zr 0.000 0.000 0.000
Sc 0.827 0.827 0.827
As 0.247 0.247 0.247
As 0.417 0.417 0.417

Properties
Symmetry: R3m, No. 160
Total magnetic moment (μB per cell): 0.0
DFT formation energy (eV per formula unit): -4.8
VASP energy (eV/atom): -7.24